Compound: Ba2YZn
Source: Alexandria
Functional: PBE-GGA
Structure: optimized geometry

total energy	-2.64	eV per atom
ρ	4.76	g/cm3
D(E_F)	1.9392	states/eV/atom
total moment	0.0	μB/f.u.
energy of formation from the pure elements	256	meV/atom

Unit cell a=5.279 b=5.279 c=10.751 alpha=90.00 beta=90.00 gamma=90.00
Space group I4/mmm (No. 139)
Symmetry-distinct sites (fractional):
Ba 0.000 0.500 0.250 x4
Y 0.000 0.000 0.000 x2
Zn 0.000 0.000 0.500 x2